1.
Below is an optimized crystal structure of KBaNpS4, with properties calculated at the PBE level.

Unit cell a=8.7034 b=8.7034 c=8.7034 alpha=145.38 beta=145.38 gamma=49.76
Last column: nearest neighbours and their distance in Å.
Fractional positions:
1 K 0.0000 0.0000 0.0000  5 S 3.13-3.47
2 Ba 0.7191 0.7191 0.0000  5 S 3.15-3.35
3 Np 0.3604 0.3604 0.0000  6 S 2.51-2.59
4 S 0.1983 0.1983 0.0000  1 Np 2.56
5 S 0.3540 0.8540 0.5000  2 Np 2.59
6 S 0.5194 0.5194 0.0000  1 Np 2.51
7 S 0.8540 0.3540 0.5000  2 Np 2.59

Values from the calculation:
Spin magnetization, μB per formula unit: 2.000
Formation energy (no corrections), eV per atom: -1.475
Calculated total energy, Ha/atom: -0.22467

---

2.
Below is an optimized crystal structure of K2BaNp3Se8, with properties calculated at the PBE level.

Unit cell a=9.2438 b=9.2438 c=9.2438 alpha=55.65 beta=55.65 gamma=55.65
Last column: nearest neighbours and their distance in Å.
Fractional positions:
1 K 0.0000 0.0000 0.0000  6 Se 3.29
2 K 0.3680 0.3680 0.3680  4 Se 3.15-3.24
3 Ba 0.6250 0.6250 0.6250  4 Se 3.11-3.29
4 Np 0.9996 0.9996 0.4947  6 Se 2.78-2.94
5 Np 0.9996 0.4947 0.9996  6 Se 2.78-2.94
6 Np 0.4947 0.9996 0.9996  6 Se 2.78-2.94
7 Se 0.1943 0.7473 0.7473  2 Np 2.83, 1 Ba 3.11
8 Se 0.2293 0.2293 0.2293  3 Np 2.89, 1 K 3.24
9 Se 0.2531 0.2531 0.8006  2 Np 2.78
10 Se 0.2531 0.8006 0.2531  2 Np 2.78
11 Se 0.7473 0.1943 0.7473  2 Np 2.83, 1 Ba 3.11
12 Se 0.7473 0.7473 0.1943  2 Np 2.83, 1 Ba 3.11
13 Se 0.7660 0.7660 0.7660  3 Np 2.94, 1 Ba 3.29
14 Se 0.8006 0.2531 0.2531  2 Np 2.78

Values from the calculation:
Spin magnetization, μB per formula unit: 9.000
Formation energy (no corrections), eV per atom: -1.224
Calculated total energy, Ha/atom: -0.23089

---

3.
Below is an optimized crystal structure of KBaNpSe4, with properties calculated at the PBE level.

Unit cell a=9.0591 b=9.0591 c=9.0591 alpha=145.13 beta=145.13 gamma=50.14
Last column: nearest neighbours and their distance in Å.
Fractional positions:
1 K 0.0000 0.0000 0.0000  5 Se 3.23-3.60
2 Ba 0.7226 0.7226 0.0000  5 Se 3.26-3.49
3 Np 0.3617 0.3617 0.0000  6 Se 2.66-2.72
4 Se 0.1969 0.1969 0.0000  1 Np 2.70
5 Se 0.3563 0.8563 0.5000  2 Np 2.72
6 Se 0.5236 0.5236 0.0000  1 Np 2.66
7 Se 0.8563 0.3563 0.5000  2 Np 2.72

Values from the calculation:
Spin magnetization, μB per formula unit: 2.000
Formation energy (no corrections), eV per atom: -1.333
Calculated total energy, Ha/atom: -0.20595

---

4.
Below is an optimized crystal structure of K3Ba2NpSe6, with properties calculated at the PBE level.

Unit cell a=7.9425 b=7.9425 c=8.0919 alpha=99.61 beta=99.61 gamma=119.95
Last column: nearest neighbours and their distance in Å.
Fractional positions:
1 K 0.0000 0.0000 0.0000  4 Se 3.30
2 K 0.3319 0.6681 0.0000  6 Se 3.32-3.69
3 K 0.6681 0.3319 0.0000  6 Se 3.32-3.69
4 Ba 0.1668 0.8332 0.5000  6 Se 3.27-3.29
5 Ba 0.8332 0.1668 0.5000  6 Se 3.27-3.29
6 Np 0.5000 0.5000 0.5000  6 Se 2.79-2.82
7 Se 0.1391 0.4282 0.2855  1 Np 2.82
8 Se 0.2842 0.2842 0.7097  1 Np 2.79
9 Se 0.4282 0.1391 0.2855  1 Np 2.82
10 Se 0.5718 0.8609 0.7145  1 Np 2.82
11 Se 0.7158 0.7158 0.2903  1 Np 2.79
12 Se 0.8609 0.5718 0.7145  1 Np 2.82

Values from the calculation:
Spin magnetization, μB per formula unit: 2.000
Formation energy (no corrections), eV per atom: -1.468
Calculated total energy, Ha/atom: -0.17945